Record 1
Ag3HgAu3 | Alexandria | PBE | relaxed; total energy = -2.622 eV per atom; distance to the lowest polymorph of the same formula = 0 meV per atom; formation enthalpy at 0 K = 32 kJ/mol of formula units; space-group type = P2_13 (198); ρ = 13.450 g/cm³
1.0
-5.8236 -4.1686 -3.9867
5.7221 -3.4612 -4.7395
0.7269 -6.1504 5.3692
Ag Hg Au
12 4 12
Direct
0.8446 0.3446 0.1554
0.8662 0.8662 0.8662
0.8088 0.6912 0.3088
0.1554 0.8446 0.3446
0.1912 0.1912 0.1912
0.3088 0.8088 0.6912
0.1338 0.3662 0.6338
0.3446 0.1554 0.8446
0.6912 0.3088 0.8088
0.6554 0.6554 0.6554
0.6338 0.1338 0.3662
0.3662 0.6338 0.1338
0.0536 0.5536 0.9464
0.9464 0.0536 0.5536
0.4464 0.4464 0.4464
0.5536 0.9464 0.0536
0.6842 0.6080 0.9975
0.8920 0.0025 0.1842
0.9975 0.6842 0.6080
0.1080 0.5025 0.3158
0.3158 0.1080 0.5025
0.1842 0.8920 0.0025
0.0025 0.1842 0.8920
0.3920 0.4975 0.8158
0.5025 0.3158 0.1080
0.6080 0.9975 0.6842
0.8158 0.3920 0.4975
0.4975 0.8158 0.3920

Record 2
PmSc4Au3O12 | Alexandria | PBE | relaxed; formation energy without anion corrections = -2235 meV per atom; total energy = -7.205 eV per atom; space-group type = Im-3 (204); ρ = 7.471 g/cm³
1.0
6.8387 0.0000 0.0000
-2.2796 6.4475 0.0000
-2.2796 -3.2238 5.5837
Pm Sc Au O
1 4 3 12
Direct
0.0000 0.0000 0.0000
0.5000 0.0000 0.0000
0.5000 0.5000 0.5000
0.0000 0.5000 0.0000
0.0000 0.0000 0.5000
0.0000 0.5000 0.5000
0.5000 0.5000 0.0000
0.5000 0.0000 0.5000
0.2980 0.8357 0.1337
0.7020 0.1643 0.8663
0.7020 0.8357 0.5378
0.8663 0.7020 0.1643
0.8357 0.1337 0.2980
0.1643 0.4622 0.2980
0.4622 0.2980 0.1643
0.1643 0.8663 0.7020
0.2980 0.1643 0.4622
0.1337 0.2980 0.8357
0.8357 0.5378 0.7020
0.5378 0.7020 0.8357

Record 3
Li2Co | Alexandria | PBE | relaxed; total energy = -3.388 eV per atom; formation enthalpy at 0 K = 74 kJ/mol of formula units; space-group type = Immm (71); ρ = 3.134 g/cm³
1.0
-2.5858 -3.8307 -0.1494
2.1401 -4.0826 -0.3682
-0.8724 3.8811 2.3578
Co Li
1 2
Direct
0.0000 0.0000 0.0000
0.6626 0.6626 0.0000
0.3374 0.3374 0.0000

Record 4
Th3TcSb | Alexandria | PBE | relaxed; formation energy without anion corrections = -303 meV per atom; total energy = -7.652 eV per atom; distance to the lowest polymorph of the same formula = 141 meV per atom; space-group type = Cmmm (65); ρ = 10.202 g/cm³
1.0
-0.5558 -4.5530 2.3986
2.6582 -3.6542 -6.3203
5.5916 2.3550 5.7657
Th Tc Sb
6 2 2
Direct
0.5000 0.3049 0.0000
0.0000 0.8761 0.7523
0.5000 0.6951 0.0000
0.5000 0.5000 0.5000
0.0000 0.1239 0.2477
0.5000 0.0000 0.5000
0.5000 0.1087 0.2173
0.5000 0.8913 0.7827
0.0000 0.6423 0.2847
0.0000 0.3577 0.7153